[1]
# SrMnGe2Ru PBE optimized geometry
data_SrMnGe2Ru
_cell_length_a 4.1569
_cell_length_b 4.1569
_cell_length_c 11.1639
_cell_angle_alpha 90.00
_cell_angle_beta 90.00
_cell_angle_gamma 90.00
_symmetry_space_group_name_H-M 'I -4 m 2'
_symmetry_Int_Tables_number 119
_symmetry_space_group_name_Hall 'I -4 -2'
loop_
_atom_site_label
_atom_site_type_symbol
_atom_site_fract_x
_atom_site_fract_y
_atom_site_fract_z
Sr1 Sr 0.0000 0.0000 0.0000
Mn1 Mn 0.0000 0.5000 0.2500
Ge1 Ge 0.0000 0.0000 0.3703
Ru1 Ru 0.0000 0.5000 0.7500
# - E_form (eV/atom) = -0.415
# - V (Å³ per cell) = 193
# - uncorrected energy (Ry per atom) = -0.462

---

[2]
# LiHoNp2S6 PBE optimized geometry
data_LiHoNp2S6
_cell_length_a 6.1322
_cell_length_b 6.1322
_cell_length_c 6.6262
_cell_angle_alpha 90.00
_cell_angle_beta 90.00
_cell_angle_gamma 90.00
_symmetry_space_group_name_H-M 'P 4 m m'
_symmetry_Int_Tables_number 99
loop_
_symmetry_equiv_pos_as_xyz
'x,y,z'
'-y,x,z'
'-x,-y,z'
'y,-x,z'
'-x,y,z'
'y,x,z'
'x,-y,z'
'-y,-x,z'
loop_
_atom_site_label
_atom_site_type_symbol
_atom_site_fract_x
_atom_site_fract_y
_atom_site_fract_z
Li1 Li 0.0000 0.0000 0.0000
Ho1 Ho 0.5000 0.5000 0.0283
Np1 Np 0.0000 0.5000 0.4553
S1 S 0.0000 0.0000 0.6389
S2 S 0.2399 0.2399 0.2179
S3 S 0.5000 0.5000 0.6310
# - ΔE_f (raw) (eV/atom) = -1.1070
# - V (Å³ per cell) = 249
# - uncorrected energy (Ry per atom) = -0.501

---

[3]
# RuCSeN PBE optimized geometry
data_RuCSeN
_cell_length_a 2.9100
_cell_length_b 2.9932
_cell_length_c 13.6050
_cell_angle_alpha 90.00
_cell_angle_beta 90.00
_cell_angle_gamma 90.00
_symmetry_space_group_name_H-M 'A m m 2'
_symmetry_Int_Tables_number 38
loop_
_symmetry_equiv_pos_as_xyz
'x,y,z'
'-x,-y,z'
'-x,y,z'
'x,-y,z'
'x,y+1/2,z+1/2'
'-x,-y+1/2,z+1/2'
'-x,y+1/2,z+1/2'
'x,-y+1/2,z+1/2'
loop_
_atom_site_label
_atom_site_type_symbol
_atom_site_fract_x
_atom_site_fract_y
_atom_site_fract_z
Ru1 Ru 0.0000 0.0000 0.0000
C1 C 0.5000 0.0000 0.5677
Se1 Se 0.0000 0.0000 0.3603
N1 N 0.5000 0.0000 0.6567
# - ΔE_f (raw) (eV/atom) = 0.6367
# - V (Å³ per cell) = 119
# - uncorrected energy (Ry per atom) = -0.510
# - energy above the lowest structure with this stoichiometry (meV per atom) = 375

---

[4]
# ScHgRh2 PBE optimized geometry
data_ScHgRh2
_cell_length_a 4.1192
_cell_length_b 4.1192
_cell_length_c 17.9165
_cell_angle_alpha 90.00
_cell_angle_beta 90.00
_cell_angle_gamma 90.00
_symmetry_space_group_name_H-M 'I -4 2 d'
_symmetry_Int_Tables_number 122
_symmetry_space_group_name_Hall 'I -4 2bw'
loop_
_atom_site_label
_atom_site_type_symbol
_atom_site_fract_x
_atom_site_fract_y
_atom_site_fract_z
Sc1 Sc 0.0000 0.0000 0.0000
Hg1 Hg 0.0000 0.0000 0.5000
Rh1 Rh 0.2129 0.2500 0.1250
# - E_form (eV/atom) = -0.033
# - V (Å³ per cell) = 304
# - uncorrected energy (Ry per atom) = -0.394

---

[5]
# LiNd4Th3Se8 PBE optimized geometry
data_LiNd4Th3Se8
_cell_length_a 8.3930
_cell_length_b 8.3930
_cell_length_c 20.5420
_cell_angle_alpha 90.00
_cell_angle_beta 90.00
_cell_angle_gamma 120.00
_symmetry_space_group_name_H-M 'R -3 m'
_symmetry_Int_Tables_number 166
_symmetry_space_group_name_Hall '-R 3 2"'
loop_
_atom_site_label
_atom_site_type_symbol
_atom_site_fract_x
_atom_site_fract_y
_atom_site_fract_z
Li1 Li 0.0000 0.0000 0.0000
Nd1 Nd 0.0000 0.0000 0.5000
Nd2 Nd 0.0000 0.5000 0.5000
Th1 Th 0.0000 0.5000 0.0000
Se1 Se 0.0000 0.0000 0.2497
Se2 Se 0.0116 0.5058 0.7466
# - ΔE_f (raw) (eV/atom) = -1.6817
# - V (Å³ per cell) = 1253
# - uncorrected energy (Ry per atom) = -0.450

---

[6]
# K2TbUS6 PBE optimized geometry
data_K2TbUS6
_cell_length_a 7.3887
_cell_length_b 7.3931
_cell_length_c 12.8078
_cell_angle_alpha 90.00
_cell_angle_beta 125.22
_cell_angle_gamma 90.00
_symmetry_space_group_name_H-M 'P 1 21/c 1'
_symmetry_Int_Tables_number 14
loop_
_symmetry_equiv_pos_as_xyz
'x,y,z'
'-x,-y,-z'
'-x,y+1/2,-z+1/2'
'x,-y+1/2,z+1/2'
loop_
_atom_site_label
_atom_site_type_symbol
_atom_site_fract_x
_atom_site_fract_y
_atom_site_fract_z
K1 K 0.2492 0.0054 0.2500
Tb1 Tb 0.0000 0.0000 0.5000
U1 U 0.5000 0.0000 0.0000
S1 S 0.2335 0.2267 0.9908
S2 S 0.2641 0.7426 0.9906
S3 S 0.2766 0.0015 0.7579
# - ΔE_f (raw) (eV/atom) = -1.3281
# - V (Å³ per cell) = 572
# - uncorrected energy (Ry per atom) = -0.413

---

- Among the records above, which one has the highest uncorrected energy?
  ScHgRh2

---

- The lowest uncorrected energy belongs to which entry?
  RuCSeN